A plane-wave DFT calculation with PBE was carried out for a geometry-optimized FeGeH3 structure.

Summary:
Density of states at the Fermi level in states/eV per cell: 4.065
Theoretical density in g/cm3: 4.731
Relative energy among the computed polymorphs in eV/atom: 0.553

a b c (Å): 3.587 3.587 3.587
angles (deg): 90.00 90.00 90.00
Element x y z (fractional)
Fe: 0.000 0.000 0.000
Ge: 0.500 0.500 0.500
H: 0.000 0.500 0.500
H: 0.500 0.000 0.500
H: 0.500 0.500 0.000

---

A plane-wave DFT calculation with PBE was carried out for a geometry-optimized Fe2GeH structure.

Summary:
Density of states at the Fermi level in states/eV per cell: 4.588
Calculated total energy in eV for the cell shown: -49.22
Theoretical density in g/cm3: 7.585

a b c (Å): 4.729 4.729 4.729
angles (deg): 107.63 107.63 113.22
Element x y z (fractional)
Fe: 0.012 0.125 0.387
Fe: 0.375 0.988 0.113
Fe: 0.738 0.625 0.613
Fe: 0.875 0.262 0.887
Ge: 0.250 0.750 0.500
Ge: 0.500 0.500 0.000
H: 0.000 0.000 0.000
H: 0.750 0.250 0.500

---

A plane-wave DFT calculation with PBE was carried out for a geometry-optimized Hf2FeGeH structure.

Summary:
Density of states at the Fermi level in states/eV per cell: 2.922
Calculated total energy in eV for the cell shown: -37.99
Theoretical density in g/cm3: 11.454

a b c (Å): 4.378 4.378 3.680
angles (deg): 90.00 90.00 90.00
Element x y z (fractional)
Hf: 0.000 0.500 0.000
Hf: 0.500 0.000 0.000
Fe: 0.000 0.000 0.500
Ge: 0.500 0.500 0.500
H: 0.000 0.000 0.000

---

A plane-wave DFT calculation with PBE was carried out for a geometry-optimized HfFeGeH structure.

Summary:
Density of states at the Fermi level in states/eV per cell: 7.054
Calculated total energy in eV for the cell shown: -56.06
Theoretical density in g/cm3: 10.606

a b c (Å): 3.775 3.775 6.766
angles (deg): 90.00 90.00 90.00
Element x y z (fractional)
Hf: 0.250 0.250 0.159
Hf: 0.750 0.750 0.841
Fe: 0.250 0.750 0.500
Fe: 0.750 0.250 0.500
Ge: 0.250 0.250 0.711
Ge: 0.750 0.750 0.289
H: 0.250 0.750 0.000
H: 0.750 0.250 0.000

---

A plane-wave DFT calculation with PBE was carried out for a geometry-optimized FeHgGeH2 structure.

Summary:
Density of states at the Fermi level in states/eV per cell: 4.500
Calculated total energy in eV for the cell shown: -16.67
Theoretical density in g/cm3: 7.300

a b c (Å): 3.731 3.731 5.410
angles (deg): 90.00 90.00 90.00
Element x y z (fractional)
Fe: 0.000 0.000 0.000
Hg: 0.000 0.000 0.500
Ge: 0.500 0.500 0.500
H: 0.000 0.500 0.000
H: 0.500 0.000 0.000

---

A plane-wave DFT calculation with PBE was carried out for a geometry-optimized HoFe2GeH structure.

Summary:
Density of states at the Fermi level in states/eV per cell: 5.275
Calculated total energy in eV for the cell shown: -62.63
Theoretical density in g/cm3: 8.625

a b c (Å): 5.503 5.503 7.288
angles (deg): 90.00 90.00 142.33
Element x y z (fractional)
Ho: 0.042 0.958 0.750
Ho: 0.958 0.042 0.250
Fe: 0.336 0.664 0.554
Fe: 0.336 0.664 0.946
Fe: 0.664 0.336 0.054
Fe: 0.664 0.336 0.446
Ge: 0.238 0.762 0.250
Ge: 0.762 0.238 0.750
H: 0.500 0.500 0.000
H: 0.500 0.500 0.500

---

A plane-wave DFT calculation with PBE was carried out for a geometry-optimized FeGeHI2 structure.

Summary:
Density of states at the Fermi level in states/eV per cell: 2.941
Calculated total energy in eV for the cell shown: -16.22
Theoretical density in g/cm3: 4.581

a b c (Å): 5.518 5.518 4.563
angles (deg): 90.00 90.00 90.00
Element x y z (fractional)
Fe: 0.000 0.000 0.000
Ge: 0.000 0.000 0.500
H: 0.500 0.500 0.500
I: 0.000 0.500 0.000
I: 0.500 0.000 0.000

---

A plane-wave DFT calculation with PBE was carried out for a geometry-optimized FeGeHIr2 structure.

Summary:
Density of states at the Fermi level in states/eV per cell: 5.349
Calculated total energy in eV for the cell shown: -33.81
Theoretical density in g/cm3: 14.750

a b c (Å): 3.951 3.951 3.706
angles (deg): 90.00 90.00 90.00
Element x y z (fractional)
Fe: 0.000 0.000 0.000
Ge: 0.500 0.500 0.000
H: 0.000 0.000 0.500
Ir: 0.000 0.500 0.500
Ir: 0.500 0.000 0.500